No. 1
Below is crystalline La2YAs2 at its relaxed geometry, with properties calculated at the PBEsol level.

Formation enthalpy at 0 K (kJ/mol of atoms): -74.34
Excess energy over the best structure of this formula in the dataset (eV per atom): 0.489

Cell: 4.310 4.310 13.742 Å, 90.00 90.00 90.00°
Space group I4/mmm (No. 139)
Unique sites:
1 La 0.000 0.500 0.250 x4
2 Y 0.000 0.000 0.000 x2
3 As 0.000 0.000 0.406 x4

---

No. 2
Below is crystalline SrMn2BiO6 at its relaxed geometry, with properties calculated at the PBEsol level.

Excess energy over the best structure of this formula in the dataset (eV per atom): 0.000
Energy relative to the elements, uncorrected (eV/atom): -1.8928

Cell: 7.699 7.643 5.450 Å, 90.00 134.68 90.00°
Space group Cm (No. 8)
Unique sites:
1 Sr 0.000 0.000 0.000 x2
2 Mn 0.006 0.253 0.503 x4
3 Bi 0.443 0.000 0.956 x2
4 O 0.016 0.000 0.537 x2
5 O 0.038 0.500 0.493 x2
6 O 0.273 0.218 0.524 x4
7 O 0.274 0.243 0.010 x4

---

No. 3
Below is crystalline DyMgAg2 at its relaxed geometry, with properties calculated at the PBEsol level.

Formation enthalpy at 0 K (kJ/mol of atoms): -29.90

Cell: 6.876 6.876 6.876 Å, 90.00 90.00 90.00°
Space group Fm-3m (No. 225)
Unique sites:
1 Dy 0.000 0.000 0.000 x4
2 Mg 0.000 0.000 0.500 x4
3 Ag 0.250 0.250 0.250 x8

---

No. 4
Below is crystalline Cs3AlCl6 at its relaxed geometry, with properties calculated at the PBEsol level.

Energy relative to the elements, uncorrected (eV/atom): -1.8232

Cell: 10.993 10.993 10.993 Å, 90.00 90.00 90.00°
Space group Fm-3m (No. 225)
Unique sites:
1 Cs 0.000 0.000 0.000 x4
2 Cs 0.250 0.250 0.250 x8
3 Al 0.000 0.000 0.500 x4
4 Cl 0.000 0.000 0.289 x24

---

No. 5
Below is crystalline RbSrZn3 at its relaxed geometry, with properties calculated at the PBEsol level.

Formation enthalpy at 0 K (kJ/mol of atoms): 55.39

Cell: 5.958 5.958 5.958 Å, 90.00 90.00 90.00°
Space group Pm-3m (No. 221)
Unique sites:
1 Rb 0.000 0.000 0.000 x1
2 Sr 0.500 0.500 0.500 x1
3 Zn 0.000 0.500 0.500 x3

---

No. 6
Below is crystalline ZnTcRu at its relaxed geometry, with properties calculated at the PBEsol level.

Formation enthalpy at 0 K (kJ/mol of atoms): -3.53
Excess energy over the best structure of this formula in the dataset (eV per atom): 0.000

Cell: 2.828 2.828 10.093 Å, 90.00 90.00 90.00°
Space group I4mm (No. 107)
Unique sites:
1 Zn 0.000 0.000 0.000 x2
2 Tc 0.000 0.000 0.326 x2
3 Ru 0.000 0.000 0.668 x2

---

Magnetic moment for the records above, in order: 0.000; 0.701; 0.000; 0.000; 0.000; 0.000 μB per atom